[1]
# HoLu2Ge4Au4 (PBE, relaxed)
data_HoLu2Ge4Au4
_chemical_formula_sum 'Ho1 Lu2 Ge4 Au4'
_space_group_name_H-M_alt 'P 1'
_space_group_IT_number 1
_cell_length_a 8.355
_cell_length_b 8.355
_cell_length_c 8.355
_cell_angle_alpha 150.18
_cell_angle_beta 130.15
_cell_angle_gamma 59.18
loop_
_space_group_symop_operation_xyz
'x,y,z'
loop_
_atom_site_label
_atom_site_type_symbol
_atom_site_fract_x
_atom_site_fract_y
_atom_site_fract_z
Lu1 Lu 0.625 0.125 0.500
Lu2 Lu 0.375 0.875 0.500
Ge1 Ge 0.684 0.500 0.184
Ge2 Ge 0.217 0.217 0.000
Ge3 Ge 0.316 0.500 0.816
Ge4 Ge 0.783 0.783 0.000
Au1 Au 0.370 0.667 0.703
Au2 Au 0.037 0.333 0.703
Au3 Au 0.963 0.667 0.297
Au4 Au 0.630 0.333 0.297
Ho1 Ho 0.000 0.000 0.000
# Total magnetic moment ... 0.00 μB per atom
# Raw total energy ... -52.08 eV per cell

=====

[2]
# Dy2YFe2CoNi6 (PBE, relaxed)
data_Dy2YFe2CoNi6
_chemical_formula_sum 'Dy2 Y1 Fe2 Co1 Ni6'
_space_group_name_H-M_alt 'P 1'
_space_group_IT_number 1
_cell_length_a 8.571
_cell_length_b 8.571
_cell_length_c 8.571
_cell_angle_alpha 33.87
_cell_angle_beta 33.87
_cell_angle_gamma 33.87
loop_
_space_group_symop_operation_xyz
'x,y,z'
loop_
_atom_site_label
_atom_site_type_symbol
_atom_site_fract_x
_atom_site_fract_y
_atom_site_fract_z
Ni1 Ni 0.420 0.420 0.916
Ni2 Ni 0.420 0.916 0.420
Ni3 Ni 0.916 0.420 0.420
Ni4 Ni 0.084 0.580 0.580
Ni5 Ni 0.580 0.580 0.084
Ni6 Ni 0.580 0.084 0.580
Y1 Y 0.000 0.000 0.000
Fe1 Fe 0.333 0.333 0.333
Fe2 Fe 0.667 0.667 0.667
Dy1 Dy 0.860 0.860 0.860
Dy2 Dy 0.140 0.140 0.140
Co1 Co 0.500 0.500 0.500
# Total magnetic moment ... 0.58 μB per atom
# DFT formation energy ... -29 kJ/mol of atoms
# Raw total energy ... -76.41 eV per cell

=====

[3]
# KZnNO (PBE, relaxed)
data_KZnNO
_chemical_formula_sum 'K2 Zn2 N2 O2'
_space_group_name_H-M_alt 'P 1'
_space_group_IT_number 1
_cell_length_a 3.454
_cell_length_b 6.041
_cell_length_c 6.235
_cell_angle_alpha 90.00
_cell_angle_beta 90.00
_cell_angle_gamma 90.00
loop_
_space_group_symop_operation_xyz
'x,y,z'
loop_
_atom_site_label
_atom_site_type_symbol
_atom_site_fract_x
_atom_site_fract_y
_atom_site_fract_z
K1 K 0.000 0.502 0.240
K2 K 0.000 0.002 0.760
N1 N 0.000 0.999 0.322
N2 N 0.000 0.499 0.678
Zn1 Zn 0.500 0.001 0.196
Zn2 Zn 0.500 0.501 0.804
O1 O 0.500 0.252 0.002
O2 O 0.500 0.752 0.998
# Excess energy over the best structure of this formula in the dataset ... 0.241 eV per atom
# Raw total energy ... -31.19 eV per cell

=====

[4]
# RbErNiS3 (PBE, relaxed)
data_RbErNiS3
_chemical_formula_sum 'Rb2 Er2 Ni2 S6'
_space_group_name_H-M_alt 'P 1'
_space_group_IT_number 1
_cell_length_a 7.620
_cell_length_b 7.620
_cell_length_c 10.283
_cell_angle_alpha 90.00
_cell_angle_beta 90.00
_cell_angle_gamma 150.37
loop_
_space_group_symop_operation_xyz
'x,y,z'
loop_
_atom_site_label
_atom_site_type_symbol
_atom_site_fract_x
_atom_site_fract_y
_atom_site_fract_z
Rb1 Rb 0.743 0.257 0.750
Rb2 Rb 0.257 0.743 0.250
Ni1 Ni 0.532 0.468 0.250
Ni2 Ni 0.468 0.532 0.750
S1 S 0.382 0.618 0.568
S2 S 0.052 0.948 0.750
S3 S 0.948 0.052 0.250
S4 S 0.618 0.382 0.432
S5 S 0.382 0.618 0.932
S6 S 0.618 0.382 0.068
Er1 Er 0.000 0.000 0.500
Er2 Er 0.000 0.000 0.000
# Excess energy over the best structure of this formula in the dataset ... 0.021 eV per atom
# Total magnetic moment ... 0.32 μB per atom
# Raw total energy ... -62.40 eV per cell

=====

[5]
# CsK3Cd2Sn2 (PBE, relaxed)
data_CsK3Cd2Sn2
_chemical_formula_sum 'Cs1 K3 Cd2 Sn2'
_space_group_name_H-M_alt 'P 1'
_space_group_IT_number 1
_cell_length_a 7.006
_cell_length_b 6.660
_cell_length_c 7.188
_cell_angle_alpha 90.00
_cell_angle_beta 104.77
_cell_angle_gamma 90.00
loop_
_space_group_symop_operation_xyz
'x,y,z'
loop_
_atom_site_label
_atom_site_type_symbol
_atom_site_fract_x
_atom_site_fract_y
_atom_site_fract_z
Cs1 Cs 0.529 0.000 0.183
Cd1 Cd 0.995 0.749 0.002
Cd2 Cd 0.995 0.251 0.002
K1 K 0.823 0.500 0.480
K2 K 0.181 0.000 0.525
K3 K 0.472 0.500 0.817
Sn1 Sn 0.257 0.500 0.264
Sn2 Sn 0.748 0.000 0.728
# Raw total energy ... -15.71 eV per cell

=====

[6]
# Er7FeI12 (PBE, relaxed)
data_Er7FeI12
_chemical_formula_sum 'Er7 Fe1 I12'
_space_group_name_H-M_alt 'P 1'
_space_group_IT_number 1
_cell_length_a 9.683
_cell_length_b 9.683
_cell_length_c 9.683
_cell_angle_alpha 106.96
_cell_angle_beta 106.96
_cell_angle_gamma 106.96
loop_
_space_group_symop_operation_xyz
'x,y,z'
loop_
_atom_site_label
_atom_site_type_symbol
_atom_site_fract_x
_atom_site_fract_y
_atom_site_fract_z
I1 I 0.161 0.386 0.463
I2 I 0.614 0.537 0.839
I3 I 0.386 0.463 0.161
I4 I 0.537 0.839 0.614
I5 I 0.929 0.322 0.775
I6 I 0.678 0.225 0.071
I7 I 0.775 0.929 0.322
I8 I 0.463 0.161 0.386
I9 I 0.322 0.775 0.929
I10 I 0.071 0.678 0.225
I11 I 0.839 0.614 0.537
I12 I 0.225 0.071 0.678
Er1 Er 0.978 0.714 0.910
Er2 Er 0.910 0.978 0.714
Er3 Er 0.286 0.090 0.022
Er4 Er 0.500 0.500 0.500
Er5 Er 0.714 0.910 0.978
Er6 Er 0.022 0.286 0.090
Er7 Er 0.090 0.022 0.286
Fe1 Fe 0.000 0.000 0.000
# Total magnetic moment ... 0.02 μB per atom
# Raw total energy ... -81.76 eV per cell

=====

[7]
# HfNiBPt (PBE, relaxed)
data_HfNiBPt
_chemical_formula_sum 'Hf1 Ni1 B1 Pt1'
_space_group_name_H-M_alt 'P 1'
_space_group_IT_number 1
_cell_length_a 4.201
_cell_length_b 4.201
_cell_length_c 4.201
_cell_angle_alpha 60.00
_cell_angle_beta 60.00
_cell_angle_gamma 60.00
loop_
_space_group_symop_operation_xyz
'x,y,z'
loop_
_atom_site_label
_atom_site_type_symbol
_atom_site_fract_x
_atom_site_fract_y
_atom_site_fract_z
Ni1 Ni 0.500 0.500 0.500
B1 B 0.000 0.000 0.000
Hf1 Hf 0.750 0.750 0.750
Pt1 Pt 0.250 0.250 0.250
# Excess energy over the best structure of this formula in the dataset ... 0.000 eV per atom
# Total magnetic moment ... 0.00 μB per atom
# Raw total energy ... -29.18 eV per cell

=====

[8]
# AgPd2Pt3 (PBE, relaxed)
data_AgPd2Pt3
_chemical_formula_sum 'Ag1 Pd2 Pt3'
_space_group_name_H-M_alt 'P 1'
_space_group_IT_number 1
_cell_length_a 2.792
_cell_length_b 2.792
_cell_length_c 13.941
_cell_angle_alpha 90.00
_cell_angle_beta 90.00
_cell_angle_gamma 120.00
loop_
_space_group_symop_operation_xyz
'x,y,z'
loop_
_atom_site_label
_atom_site_type_symbol
_atom_site_fract_x
_atom_site_fract_y
_atom_site_fract_z
Pd1 Pd 0.333 0.667 0.664
Pd2 Pd 0.667 0.333 0.336
Pt1 Pt 0.333 0.667 0.171
Pt2 Pt 0.000 0.000 0.500
Pt3 Pt 0.667 0.333 0.829
Ag1 Ag 0.000 0.000 0.000
# Total magnetic moment ... 0.03 μB per atom
# DFT formation energy ... -3 kJ/mol of atoms
# Raw total energy ... -31.52 eV per cell